ErThInOs after structural relaxation, computed with GGA-PBE.

Output
* DFT formation energy: -3.21 kcal/mol of atoms
* space group: F-43m, No. 216
* final energy: -26.507 eV per cell

Lattice parameters (Å, degrees): 4.9952 4.9952 4.9952 60.00 60.00 60.00
Fractional coordinates of all 4 atoms:
Er 0.0000 0.0000 0.0000
Th 0.2500 0.2500 0.2500
In 0.7500 0.7500 0.7500
Os 0.5000 0.5000 0.5000



BaYSe2 after structural relaxation, computed with GGA-PBE.

Output
* N(E_F): 0.192 states/eV/atom
* energy relative to the lowest polymorph listed for this composition: 0.346 eV/atom
* uncorrected formation energy: -1.5423 eV per atom
* space group: R-3m, No. 166
* final energy: -21.525 eV per cell

Lattice parameters (Å, degrees): 9.6502 9.6502 9.6502 25.63 25.63 25.63
Fractional coordinates of all 4 atoms:
Ba 0.0000 0.0000 0.0000
Y 0.5000 0.5000 0.5000
Se 0.1123 0.1123 0.1123
Se 0.8877 0.8877 0.8877



AcAlInPd after structural relaxation, computed with GGA-PBE.

Output
* DFT formation energy: -13.62 kcal/mol of atoms
* N(E_F): 0.630 states/eV/atom
* space group: R3m, No. 160
* final energy: -18.145 eV per cell

Lattice parameters (Å, degrees): 6.4899 6.4899 6.4899 40.08 40.08 40.08
Fractional coordinates of all 4 atoms:
Ac 0.0000 0.0000 0.0000
Al 0.7900 0.7900 0.7900
In 0.2070 0.2070 0.2070
Pd 0.4751 0.4751 0.4751



NaAgC2Se after structural relaxation, computed with GGA-PBE.

Output
* N(E_F): 0.323 states/eV/atom
* uncorrected formation energy: 1.9236 eV per atom
* space group: P4/mmm, No. 123
* final energy: -16.485 eV per cell

Lattice parameters (Å, degrees): 4.1542 4.1542 5.5347 90.00 90.00 90.00
Fractional coordinates of all 5 atoms:
Na 0.0000 0.0000 0.0000
Ag 0.5000 0.5000 0.5000
C 0.0000 0.5000 0.5000
C 0.5000 0.0000 0.5000
Se 0.5000 0.5000 0.0000



KTc2BiIr after structural relaxation, computed with GGA-PBE.

Output
* DFT formation energy: 64.13 kcal/mol of atoms
* N(E_F): 0.983 states/eV/atom
* space group: P4/mmm, No. 123
* final energy: -20.666 eV per cell

Lattice parameters (Å, degrees): 4.7736 4.7736 4.8960 90.00 90.00 90.00
Fractional coordinates of all 5 atoms:
K 0.0000 0.0000 0.0000
Tc 0.0000 0.5000 0.0000
Tc 0.5000 0.0000 0.0000
Bi 0.5000 0.5000 0.5000
Ir 0.0000 0.0000 0.5000



YInBi2Rh after structural relaxation, computed with GGA-PBE.

Output
* DFT formation energy: 23.77 kcal/mol of atoms
* N(E_F): 1.370 states/eV/atom
* space group: P4/mmm, No. 123
* final energy: -19.163 eV per cell

Lattice parameters (Å, degrees): 5.6771 5.6771 5.6194 90.00 90.00 90.00
Fractional coordinates of all 5 atoms:
Y 0.0000 0.0000 0.0000
In 0.0000 0.0000 0.5000
Bi 0.0000 0.5000 0.0000
Bi 0.5000 0.0000 0.0000
Rh 0.5000 0.5000 0.5000



AcPm2Te4 after structural relaxation, computed with GGA-PBE.

Output
* N(E_F): 0.338 states/eV/atom
* uncorrected formation energy: -1.4813 eV per atom
* space group: Cmcm, No. 63
* final energy: -73.090 eV per cell

Lattice parameters (Å, degrees): 7.6806 7.6806 15.3673 90.00 90.00 146.02
Fractional coordinates of all 14 atoms:
Ac 0.1204 0.8796 0.7500
Ac 0.8796 0.1204 0.2500
Pm 0.3699 0.6301 0.5635
Pm 0.3699 0.6301 0.9365
Pm 0.6301 0.3699 0.0635
Pm 0.6301 0.3699 0.4365
Te 0.0000 0.0000 0.0000
Te 0.0000 0.0000 0.5000
Te 0.2731 0.7269 0.1215
Te 0.2731 0.7269 0.3785
Te 0.4537 0.5463 0.7500
Te 0.5463 0.4537 0.2500
Te 0.7269 0.2731 0.6215
Te 0.7269 0.2731 0.8785



LiReSe3 after structural relaxation, computed with GGA-PBE.

Output
* N(E_F): 1.062 states/eV/atom
* energy relative to the lowest polymorph listed for this composition: 0.000 eV/atom
* uncorrected formation energy: 0.1569 eV per atom
* space group: Pm-3m, No. 221
* final energy: -24.031 eV per cell

Lattice parameters (Å, degrees): 4.9595 4.9595 4.9595 90.00 90.00 90.00
Fractional coordinates of all 5 atoms:
Li 0.0000 0.0000 0.0000
Re 0.5000 0.5000 0.5000
Se 0.0000 0.5000 0.5000
Se 0.5000 0.0000 0.5000
Se 0.5000 0.5000 0.0000



In2MoAs after structural relaxation, computed with GGA-PBE.

Output
* DFT formation energy: 4.88 kcal/mol of atoms
* N(E_F): 0.733 states/eV/atom
* space group: Imm2, No. 44
* final energy: -20.111 eV per cell

Lattice parameters (Å, degrees): 6.1718 6.1718 6.1718 150.28 132.64 56.92
Fractional coordinates of all 4 atoms:
In 0.0000 0.0000 0.0000
In 0.7038 0.2038 0.5000
Mo 0.2343 0.7343 0.5000
As 0.4126 0.4126 0.0000



PmPrErZn after structural relaxation, computed with GGA-PBE.

Output
* DFT formation energy: 0.48 kcal/mol of atoms
* N(E_F): 1.244 states/eV/atom
* energy relative to the lowest polymorph listed for this composition: 0.177 eV/atom
* space group: F-43m, No. 216
* final energy: -15.284 eV per cell

Lattice parameters (Å, degrees): 5.4393 5.4393 5.4393 60.00 60.00 60.00
Fractional coordinates of all 4 atoms:
Pm 0.0000 0.0000 0.0000
Pr 0.5000 0.5000 0.5000
Er 0.2500 0.2500 0.2500
Zn 0.7500 0.7500 0.7500



HfSc2TaO after structural relaxation, computed with GGA-PBE.

Output
* N(E_F): 1.012 states/eV/atom
* uncorrected formation energy: -1.0589 eV per atom
* space group: P4/mmm, No. 123
* final energy: -44.722 eV per cell

Lattice parameters (Å, degrees): 4.3806 4.3806 4.5244 90.00 90.00 90.00
Fractional coordinates of all 5 atoms:
Hf 0.0000 0.0000 0.0000
Sc 0.0000 0.5000 0.5000
Sc 0.5000 0.0000 0.5000
Ta 0.5000 0.5000 0.0000
O 0.0000 0.0000 0.5000



Rb2TmInO4 after structural relaxation, computed with GGA-PBE.

Output
* N(E_F): 0.000 states/eV/atom
* uncorrected formation energy: -2.0961 eV per atom
* space group: P2/m, No. 10
* final energy: -45.747 eV per cell

Lattice parameters (Å, degrees): 5.9250 3.4240 6.8293 90.00 107.23 90.00
Fractional coordinates of all 8 atoms:
Rb 0.0000 0.0000 0.0000
Rb 0.5000 0.5000 0.0000
Tm 0.0000 0.5000 0.5000
In 0.5000 0.0000 0.5000
O 0.2220 0.0000 0.6766
O 0.2766 0.5000 0.3244
O 0.7234 0.5000 0.6756
O 0.7780 0.0000 0.3234



Co2TcHPd after structural relaxation, computed with GGA-PBE.

Output
* N(E_F): 1.007 states/eV/atom
* energy relative to the lowest polymorph listed for this composition: 0.000 eV/atom
* space group: P4/mmm, No. 123
* final energy: -32.256 eV per cell

Lattice parameters (Å, degrees): 3.7914 3.7914 3.7475 90.00 90.00 90.00
Fractional coordinates of all 5 atoms:
Co 0.0000 0.5000 0.0000
Co 0.5000 0.0000 0.0000
Tc 0.0000 0.0000 0.5000
H 0.0000 0.0000 0.0000
Pd 0.5000 0.5000 0.5000



Nb4VMo after structural relaxation, computed with GGA-PBE.

Output
* DFT formation energy: 15.03 kcal/mol of atoms
* N(E_F): 1.307 states/eV/atom
* energy relative to the lowest polymorph listed for this composition: 0.665 eV/atom
* space group: P4/mmm, No. 123
* final energy: -56.317 eV per cell

Lattice parameters (Å, degrees): 4.3954 4.3954 6.1485 90.00 90.00 90.00
Fractional coordinates of all 6 atoms:
Nb 0.0000 0.5000 0.2439
Nb 0.0000 0.5000 0.7561
Nb 0.5000 0.0000 0.2439
Nb 0.5000 0.0000 0.7561
V 0.0000 0.0000 0.0000
Mo 0.5000 0.5000 0.5000



RbTaW2 after structural relaxation, computed with GGA-PBE.

Output
* DFT formation energy: 45.70 kcal/mol of atoms
* N(E_F): 1.331 states/eV/atom
* energy relative to the lowest polymorph listed for this composition: 0.000 eV/atom
* space group: Fm-3m, No. 225
* final energy: -30.799 eV per cell

Lattice parameters (Å, degrees): 4.8053 4.8053 4.8053 60.00 60.00 60.00
Fractional coordinates of all 4 atoms:
Rb 0.0000 0.0000 0.0000
Ta 0.5000 0.5000 0.5000
W 0.2500 0.2500 0.2500
W 0.7500 0.7500 0.7500



AsRh2I2 after structural relaxation, computed with GGA-PBE.

Output
* N(E_F): 1.095 states/eV/atom
* uncorrected formation energy: 0.5577 eV per atom
* space group: I4/mmm, No. 139
* final energy: -19.664 eV per cell

Lattice parameters (Å, degrees): 8.1548 8.1548 8.1548 152.55 152.55 39.22
Fractional coordinates of all 5 atoms:
As 0.0000 0.0000 0.0000
Rh 0.2500 0.7500 0.5000
Rh 0.7500 0.2500 0.5000
I 0.3723 0.3723 0.0000
I 0.6277 0.6277 0.0000



MgInAg2Pb after structural relaxation, computed with GGA-PBE.

Output
* DFT formation energy: 11.59 kcal/mol of atoms
* N(E_F): 0.549 states/eV/atom
* space group: P4/mmm, No. 123
* final energy: -11.231 eV per cell

Lattice parameters (Å, degrees): 5.2184 5.2184 5.7845 90.00 90.00 90.00
Fractional coordinates of all 5 atoms:
Mg 0.0000 0.0000 0.0000
In 0.5000 0.5000 0.5000
Ag 0.0000 0.5000 0.5000
Ag 0.5000 0.0000 0.5000
Pb 0.5000 0.5000 0.0000



Ta3SnMo after structural relaxation, computed with GGA-PBE.

Output
* DFT formation energy: 52.77 kcal/mol of atoms
* N(E_F): 1.941 states/eV/atom
* energy relative to the lowest polymorph listed for this composition: 1.084 eV/atom
* space group: Pm-3m, No. 221
* final energy: -38.951 eV per cell

Lattice parameters (Å, degrees): 4.9300 4.9300 4.9300 90.00 90.00 90.00
Fractional coordinates of all 5 atoms:
Ta 0.0000 0.0000 0.5000
Ta 0.0000 0.5000 0.0000
Ta 0.5000 0.0000 0.0000
Sn 0.0000 0.0000 0.0000
Mo 0.5000 0.5000 0.5000



MgSiRu after structural relaxation, computed with GGA-PBE.

Output
* N(E_F): 0.281 states/eV/atom
* uncorrected formation energy: -0.3815 eV per atom
* space group: I2_12_12_1, No. 24
* final energy: -34.876 eV per cell

Lattice parameters (Å, degrees): 4.9351 4.9351 4.9351 119.24 109.72 100.02
Fractional coordinates of all 6 atoms:
Mg 0.1369 0.3869 0.7500
Mg 0.3631 0.1131 0.2500
Si 0.7042 0.2500 0.9542
Si 0.7958 0.7500 0.5458
Ru 0.2500 0.6972 0.4472
Ru 0.7500 0.8028 0.0528